(1)
## Zn2Ag2Au (PBE-GGA)

Data for Zn2Ag2Au after structural relaxation.

Properties
For the formation enthalpy at 0 K, the calculation gives -0.037 eV per atom. As for the symmetry: C2/m, No. 12. For the energy above the lowest structure with this stoichiometry, the calculation gives 0.055 eV per atom.

abc: 5.0646 5.0646 4.1869
angles: 114.31 114.31 67.67
Closest atoms and distances in Å follow each position.
Positions (direct):
Zn  0.2202  0.7798  0.0000  1 Zn 2.48, 2 Au 2.62, 2 Ag 2.73
Zn  0.7798  0.2202  0.0000  1 Zn 2.48, 2 Au 2.62, 2 Ag 2.73
Ag  0.1953  0.1953  0.6946  6 Zn 2.73-2.82, 1 Ag 2.85, 1 Au 3.05
Ag  0.8047  0.8047  0.3054  6 Zn 2.73-2.82, 1 Ag 2.85, 1 Au 3.05
Au  0.5000  0.5000  0.5000  4 Zn 2.62

(2)
## Tb5Nd4Tm3 (PBE-GGA)

Data for Tb5Nd4Tm3 after structural relaxation.

Properties
For the formation enthalpy at 0 K, the calculation gives 0.226 eV per atom. As for the symmetry: C2/m, No. 12.

abc: 8.6123 8.6123 9.3838
angles: 115.04 115.04 40.24
Closest atoms and distances in Å follow each position.
Positions (direct):
Tb  0.0000  0.0000  0.0000  4 Tm 2.96-3.13
Tb  0.3286  0.3286  0.6156  4 Tm 3.21-3.47, 3 Nd 3.44-3.54
Tb  0.4286  0.4286  0.2963  2 Tm 3.29-3.46, 2 Tb 3.46-3.63
Tb  0.5714  0.5714  0.7037  2 Tm 3.29-3.46, 2 Tb 3.46-3.63
Tb  0.6714  0.6714  0.3844  4 Tm 3.21-3.47, 3 Nd 3.44-3.54
Nd  0.0838  0.0838  0.4455  2 Nd 3.30-3.66, 3 Tb 3.44-3.54, 1 Tm 3.45
Nd  0.2170  0.2170  0.8807  3 Tm 3.36-3.52, 3 Nd 3.57-3.66, 3 Tb 3.67-3.68
Nd  0.7830  0.7830  0.1193  3 Tm 3.36-3.52, 3 Nd 3.57-3.66, 3 Tb 3.67-3.68
Nd  0.9162  0.9162  0.5545  2 Nd 3.30-3.66, 3 Tb 3.44-3.54, 1 Tm 3.45
Tm  0.2117  0.2117  0.2343  5 Tb 3.13-3.47, 2 Nd 3.36-3.45
Tm  0.5000  0.5000  0.0000  2 Tb 2.96
Tm  0.7883  0.7883  0.7657  5 Tb 3.13-3.47, 2 Nd 3.36-3.45

Q: What is the formula in the second record?
A: Tb5Nd4Tm3

Q: Which formula does entry 1 have?
A: Zn2Ag2Au

Q: Among the records above, which one has the highest formation enthalpy at 0 K?
A: Tb5Nd4Tm3